*w*
The following is a PBE calculation of an optimized crystal structure of GdTlGe, from the Open Quantum Materials Database.

Calculated values
mass density = 8.33 g/cm3

Lattice parameters (Å, degrees): 4.966 4.966 4.966 60.00 60.00 60.00
Atoms (fractional coordinates):
1 Gd 0.250 0.250 0.250
2 Ge 0.750 0.750 0.750
3 Tl 0.000 0.000 0.000


*x*
The following is a PBE calculation of an optimized crystal structure of GdTlGe, from the Open Quantum Materials Database.

Calculated values
mass density = 8.18 g/cm3

Lattice parameters (Å, degrees): 4.995 4.995 4.995 60.00 60.00 60.00
Atoms (fractional coordinates):
1 Gd 0.000 0.000 0.000
2 Tl 0.750 0.750 0.750
3 Ge 0.250 0.250 0.250


*x* wins, 149 meV per atom ahead of the next structure.


*w*
The following is a PBE calculation of an optimized crystal structure of GdYGe2, from the Open Quantum Materials Database.

Calculated values
mass density = 5.87 g/cm3

Lattice parameters (Å, degrees): 3.283 6.460 6.460 53.89 90.00 90.00
Atoms (fractional coordinates):
1 Ge 0.000 0.394 0.394
2 Gd 0.000 0.150 0.150
3 Y 0.000 0.850 0.850
4 Ge 0.000 0.606 0.606


*x*
The following is a PBE calculation of an optimized crystal structure of GdYGe2, from the Open Quantum Materials Database.

Calculated values
mass density = 6.17 g/cm3

Lattice parameters (Å, degrees): 9.715 9.715 5.457 90.00 90.00 155.87
Atoms (fractional coordinates):
1 Gd 0.081 0.919 0.250
2 Ge 0.541 0.459 0.750
3 Y 0.297 0.703 0.250
4 Gd 0.919 0.081 0.750
5 Y 0.703 0.297 0.750
6 Ge 0.311 0.689 0.750
7 Ge 0.689 0.311 0.250
8 Ge 0.459 0.541 0.250


*x* wins, 624 meV per atom ahead of the next structure.


*w*
The following is a PBE calculation of an optimized crystal structure of Gd2Hf, from the Open Quantum Materials Database.

Calculated values
mass density = 8.23 g/cm3

Lattice parameters (Å, degrees): 5.200 5.200 5.200 60.00 60.00 60.00
Atoms (fractional coordinates):
1 Hf 0.000 0.000 0.000
2 Gd 0.750 0.750 0.750
3 Gd 0.250 0.250 0.250


*x*
The following is a PBE calculation of an optimized crystal structure of Gd2Hf, from the Open Quantum Materials Database.

Calculated values
mass density = 9.61 g/cm3

Lattice parameters (Å, degrees): 6.222 6.222 6.222 60.00 60.00 60.00
Atoms (fractional coordinates):
1 Gd 0.125 0.625 0.625
2 Hf 0.250 0.250 0.250
3 Hf 0.000 0.000 0.000
4 Gd 0.625 0.625 0.125
5 Gd 0.625 0.625 0.625
6 Gd 0.625 0.125 0.625


*x* wins, 218 meV per atom ahead of the next structure.


*w*
The following is a PBE calculation of an optimized crystal structure of GdHf2, from the Open Quantum Materials Database.

Calculated values
mass density = 3.34 g/cm3

Lattice parameters (Å, degrees): 8.978 8.978 8.978 60.00 60.00 60.00
Atoms (fractional coordinates):
1 Hf 0.875 0.375 0.375
2 Hf 0.375 0.875 0.375
3 Hf 0.375 0.375 0.875
4 Gd 0.250 0.250 0.250
5 Gd 0.500 0.500 0.500
6 Hf 0.375 0.375 0.375


*x*
The following is a PBE calculation of an optimized crystal structure of GdHf2, from the Open Quantum Materials Database.

Calculated values
mass density = 10.03 g/cm3

Lattice parameters (Å, degrees): 4.937 4.937 4.937 60.00 60.00 60.00
Atoms (fractional coordinates):
1 Hf 0.750 0.750 0.750
2 Hf 0.250 0.250 0.250
3 Gd 0.000 0.000 0.000


*x* wins, 2282 meV per atom ahead of the next structure.